This record from the Alexandria database describes a relaxed Cs2AcNpS6 crystal. The functional is PBE.

total energy	-5.64	eV per atom
crystal system	monoclinic
density of states at the Fermi level	7.25	states/eV/f.u.
calculated density	4.7	g cm⁻³
formation energy (no corrections)	-1.283	eV/atom
volume	323.9	Å³/cell

a = 7.708 Å, b = 7.708 Å, c = 7.709 Å
α = 119.99°, β = 119.99°, γ = 60.00°
Positions (direct):
1 Cs 0.250 0.250 0.250
2 Cs 0.750 0.750 0.750
3 Ac 0.000 0.000 0.500
4 Np 0.500 0.500 0.000
5 S 0.269 0.729 0.229
6 S 0.270 0.270 0.768
7 S 0.271 0.731 0.771
8 S 0.729 0.269 0.229
9 S 0.730 0.730 0.232
10 S 0.731 0.271 0.771

=====

This record from the Alexandria database describes a relaxed Cs2Ac2NpSe6 crystal. The functional is PBE.

total energy	-5.58	eV per atom
crystal system	monoclinic
density of states at the Fermi level	5.01	states/eV/f.u.
calculated density	5.3	g cm⁻³
formation energy (no corrections)	-1.597	eV/atom
volume	446.4	Å³/cell

a = 7.742 Å, b = 7.742 Å, c = 8.944 Å
α = 98.55°, β = 98.55°, γ = 119.38°
Positions (direct):
1 Cs 0.171 0.829 0.000
2 Cs 0.829 0.171 0.000
3 Ac 0.334 0.666 0.500
4 Ac 0.666 0.334 0.500
5 Np 0.000 0.000 0.500
6 Se 0.062 0.373 0.686
7 Se 0.242 0.242 0.314
8 Se 0.373 0.062 0.686
9 Se 0.627 0.938 0.314
10 Se 0.758 0.758 0.686
11 Se 0.938 0.627 0.314

=====

This record from the Alexandria database describes a relaxed Cs3Ac2NpTe6 crystal. The functional is PBE.

total energy	-4.83	eV per atom
crystal system	monoclinic
density of states at the Fermi level	5.16	states/eV/f.u.
calculated density	5.7	g cm⁻³
formation energy (no corrections)	-1.287	eV/atom
volume	543.0	Å³/cell

a = 8.371 Å, b = 8.371 Å, c = 9.379 Å
α = 98.60°, β = 98.60°, γ = 120.02°
Positions (direct):
1 Cs 0.000 0.000 0.000
2 Cs 0.330 0.670 0.000
3 Cs 0.670 0.330 0.000
4 Ac 0.167 0.833 0.500
5 Ac 0.833 0.167 0.500
6 Np 0.500 0.500 0.500
7 Te 0.114 0.435 0.302
8 Te 0.247 0.247 0.699
9 Te 0.435 0.114 0.302
10 Te 0.565 0.886 0.698
11 Te 0.753 0.753 0.301
12 Te 0.886 0.565 0.698

=====

> What is the density of states at the Fermi level in the third record?

5.16 states/eV/f.u.